The following is a GGA-PBE calculation of a geometry-optimized TaPb2Br structure, from the Alexandria database.

Properties
- Fermi-level density of states (states/eV/f.u.) = 2.4
- ρ (kg/m³) = 10332
- total magnetization (μB per atom) = 0.00
- SG = Cmm2 (35)
- energy relative to the lowest polymorph listed for this composition (eV/atom) = 0.166

Cell: 3.402 3.402 11.100 Å, 90.00 90.00 122.34°
Fractional coordinates of all 4 atoms:
Ta (0.000, 0.000, 0.000)
Pb (0.000, 0.000, 0.502)
Pb (0.500, 0.500, 0.774)
Br (0.500, 0.500, 0.186)